1.
22
Lattice="5.504 0.023 0.002 -0.227 5.579 0.005 -2.304 -2.543 9.483" Properties=species:S:1:pos:R:3 comment="V4ZnCu3O14 GGA-PBEsol relaxed" energy_ev_per_atom=-7.50 raw_formation_energy_ev_per_atom=-1.74 pbc="T T T"
O 0.820 -0.188 3.416
O 3.045 2.116 8.504
O 2.485 -0.263 1.179
O 3.153 4.523 3.776
O 4.312 3.471 1.304
O -1.345 1.281 6.033
O -0.296 -1.330 5.710
O 0.475 3.290 8.277
O -1.285 -0.399 8.246
O 1.300 2.889 2.421
O -0.104 0.934 0.961
O 1.959 3.100 5.965
O 4.406 1.809 3.530
O 1.767 0.056 7.025
V 3.327 0.795 7.472
V -0.304 2.243 2.032
V 1.076 -1.536 6.743
V 1.845 4.560 2.716
Cu 3.831 4.888 0.149
Cu -0.562 0.262 4.606
Cu -0.845 -1.834 9.363
Zn 3.646 2.980 4.964

***

2.
18
Lattice="6.320 0.000 0.000 0.000 7.103 0.000 0.000 -3.551 6.151" Properties=species:S:1:pos:R:3 comment="NdPO4 GGA-PBEsol relaxed" energy_ev_per_atom=-8.33 raw_formation_energy_ev_per_atom=-3.00 pbc="T T T"
P 3.160 1.776 3.075
P 5.267 -1.776 3.075
P 1.053 3.551 0.000
O 2.208 2.946 3.408
O 2.208 0.605 2.743
O 6.219 4.156 3.408
O 0.101 2.678 0.848
O 0.101 0.874 5.303
O 2.005 4.425 0.848
O 4.112 1.478 4.256
O 4.112 2.073 1.895
O 2.005 -0.874 5.303
O 4.315 -1.478 4.256
O 6.219 -0.605 2.743
O 4.315 5.030 1.895
Nd 2.107 -1.776 3.075
Nd 4.213 3.551 0.000
Nd 0.000 1.776 3.075

***

3.
10
Lattice="5.599 0.006 0.000 -1.730 5.325 0.000 -1.935 -2.665 4.981" Properties=species:S:1:pos:R:3 comment="NdB2Os2 GGA-PBEsol relaxed" e_form_ev_per_atom=-0.422 energy_ev_per_atom=-9.15 pbc="T T T"
B 4.165 -0.988 2.491
B 3.299 1.675 0.000
B 0.570 3.656 0.000
B 1.435 0.993 2.491
Os 2.800 0.003 3.852
Os 2.800 0.003 1.130
Os 0.000 0.000 3.620
Os 1.935 2.665 1.361
Nd 0.000 0.000 0.000
Nd -0.865 2.663 2.491

***

4.
5
Lattice="4.870 0.000 0.000 0.000 4.870 0.000 0.000 0.000 4.870" Properties=species:S:1:pos:R:3 comment="CsTcPd3 GGA-PBEsol relaxed" e_form_ev_per_atom=0.931 energy_ev_per_atom=-5.09 pbc="T T T"
Pd 0.000 2.435 0.000
Pd 0.000 0.000 2.435
Pd 2.435 0.000 0.000
Tc 0.000 0.000 0.000
Cs 2.435 2.435 2.435

***

5.
8
Lattice="5.676 0.000 0.000 0.000 5.676 0.000 -2.838 -2.838 5.533" Properties=species:S:1:pos:R:3 comment="Tl2CS GGA-PBEsol relaxed" energy_ev_per_atom=-4.16 raw_formation_energy_ev_per_atom=0.66 pbc="T T T"
S 0.000 0.000 0.000
S 0.000 2.838 2.766
Tl 3.845 1.419 1.383
Tl 1.831 4.257 1.383
Tl 1.419 1.007 4.150
Tl -1.419 -1.007 4.150
C 2.838 2.838 0.000
C 2.838 0.000 2.766

***

6.
4
Lattice="-1.866 -0.776 -2.027 1.257 -4.604 0.606 -2.543 0.780 4.063" Properties=species:S:1:pos:R:3 comment="ScAgOs2 GGA-PBEsol relaxed" e_form_ev_per_atom=0.170 energy_ev_per_atom=-8.42 pbc="T T T"
Sc -2.804 -1.968 3.334
Ag -0.846 -3.190 2.000
Os 0.009 -0.189 0.064
Os -2.357 -1.162 0.594

***

7.
5
Lattice="-2.376 3.792 -1.792 -4.181 -2.306 0.664 -0.335 1.882 4.426" Properties=species:S:1:pos:R:3 comment="SrPd3Br GGA-PBEsol relaxed" energy_ev_per_atom=-4.33 raw_formation_energy_ev_per_atom=-0.01 pbc="T T T"
Pd -0.168 0.941 2.213
Pd -2.091 -1.153 0.332
Pd -1.188 1.896 -0.896
Br 0.000 0.000 0.000
Sr -3.446 1.684 1.649

***

8.
8
Lattice="4.955 -0.008 0.000 -2.464 4.299 0.000 -1.245 -2.146 4.290" Properties=species:S:1:pos:R:3 comment="LiHPd2 GGA-PBEsol relaxed" energy_ev_per_atom=-4.55 pbc="T T T"
Li -1.232 2.150 2.145
Li 0.000 0.000 0.000
H 2.478 -0.004 2.145
H 1.245 2.146 0.000
Pd 1.336 1.376 1.680
Pd -0.713 -0.303 2.610
Pd 0.104 3.526 0.465
Pd 1.764 -0.307 3.825

***

9.
4
Lattice="4.835 0.000 0.000 2.417 4.187 0.000 2.417 1.396 3.754" Properties=species:S:1:pos:R:3 comment="KBe2Tl GGA-PBEsol relaxed" e_form_ev_per_atom=0.849 energy_ev_per_atom=-2.09 pbc="T T T"
Be 2.417 1.396 1.160
Be 7.252 4.187 2.594
Tl 0.000 0.000 0.000
K 4.835 2.791 1.877

***

10.
4
Lattice="3.896 0.000 0.000 0.000 3.896 0.000 0.000 0.000 4.029" Properties=species:S:1:pos:R:3 comment="BeAg2As GGA-PBEsol relaxed" e_form_ev_per_atom=0.236 energy_ev_per_atom=-3.70 pbc="T T T"
Be 0.000 0.000 2.014
As 1.948 1.948 2.014
Ag 1.948 0.000 0.000
Ag 0.000 1.948 0.000

***

11.
10
Lattice="-2.655 -0.922 3.982 -4.568 -1.642 -0.443 -0.881 -5.110 1.212" Properties=species:S:1:pos:R:3 comment="MnCuO3 GGA-PBEsol relaxed" energy_ev_per_atom=-7.19 raw_formation_energy_ev_per_atom=-1.22 pbc="T T T"
Cu -1.531 -3.298 1.198
Cu -6.573 -4.376 3.552
O -2.936 -2.154 2.360
O -5.219 -2.962 3.771
O -2.881 -4.689 3.782
O -5.224 -2.985 0.968
O -5.168 -5.520 2.390
O -2.885 -4.712 0.979
Mn -3.341 -5.819 2.390
Mn -4.763 -1.854 2.360

***

12.
4
Lattice="2.753 0.000 0.000 0.000 4.477 0.029 -1.376 -0.736 4.404" Properties=species:S:1:pos:R:3 comment="SiTc2Ir GGA-PBEsol relaxed" energy_ev_per_atom=-9.71 raw_formation_energy_ev_per_atom=-0.19 pbc="T T T"
Tc 0.000 0.765 2.175
Tc 1.376 2.975 2.259
Ir 1.376 0.000 0.000
Si 0.000 2.238 0.015